Entry 1:
Density functional theory data (PBE) for an optimized crystal structure of CsPdI6.

abc: 13.037 8.813 8.667
angles: 90.00 130.39 90.00
Atoms (fractional coordinates):
Cs 0.000 0.000 0.000
Cs 0.500 0.500 0.000
Pd 0.000 0.500 0.500
Pd 0.500 0.000 0.500
I 0.142 0.257 0.523
I 0.142 0.743 0.523
I 0.159 0.500 0.909
I 0.341 0.000 0.091
I 0.358 0.243 0.477
I 0.358 0.757 0.477
I 0.642 0.243 0.523
I 0.642 0.757 0.523
I 0.659 0.000 0.909
I 0.841 0.500 0.091
I 0.858 0.257 0.477
I 0.858 0.743 0.477

**Size of the total moment**: 0.0 μB/f.u.
**DOS(E_F)**: 13.664 states/eV/cell
**Uncorrected energy**: -2.3291 eV/atom

Entry 2:
Density functional theory data (PBE) for an optimized crystal structure of Zr2MnPb.

abc: 6.092 8.626 3.228
angles: 90.00 90.00 90.00
Atoms (fractional coordinates):
Zr 0.250 0.250 0.000
Zr 0.250 0.750 0.000
Zr 0.750 0.250 0.000
Zr 0.750 0.750 0.000
Mn 0.000 0.000 0.500
Mn 0.500 0.500 0.500
Pb 0.000 0.500 0.500
Pb 0.500 0.000 0.500

**Size of the total moment**: 3.2 μB/f.u.
**DOS(E_F)**: 7.858 states/eV/cell
**Uncorrected energy**: -7.4506 eV/atom
**DFT formation energy**: 0.172 eV per formula unit

Entry 3:
Density functional theory data (PBE) for an optimized crystal structure of DyZrN.

abc: 3.515 3.515 4.427
angles: 90.00 90.00 90.00
Atoms (fractional coordinates):
Dy 0.000 0.000 0.000
Zr 0.500 0.500 0.500
N 0.500 0.500 0.000

**Size of the total moment**: 0.0 μB/f.u.
**DOS(E_F)**: 2.778 states/eV/cell
**Uncorrected energy**: -8.2339 eV/atom

Entry 4:
Density functional theory data (PBE) for an optimized crystal structure of CdHg2Os.

abc: 2.862 4.754 13.141
angles: 90.00 90.00 90.00
Atoms (fractional coordinates):
Cd 0.000 0.000 0.000
Cd 0.500 0.500 0.500
Hg 0.000 0.000 0.374
Hg 0.000 0.500 0.182
Hg 0.500 0.000 0.682
Hg 0.500 0.500 0.874
Os 0.000 0.500 0.685
Os 0.500 0.000 0.185

**Size of the total moment**: 0.0 μB/f.u.
**DOS(E_F)**: 4.584 states/eV/cell
**Uncorrected energy**: -2.6576 eV/atom
**DFT formation energy**: 2.118 eV per formula unit